Computed, not measured: crystalline BaBeTl2 at its relaxed geometry at the PBE level of DFT.

Output
**V**: 545.84 Å³/cell
**Density of states at the Fermi level**: 0.40 states/eV per atom
**Total magnetization**: 0.000 μB per atom
**SG**: I-42d
**Final energy**: -2.417 eV per atom
**Energy of formation**: 0.18 eV/atom

extended XYZ file:
```
16
Lattice="5.751 0.000 0.000 0.000 5.751 0.000 0.000 0.000 16.506" Properties=species:S:1:pos:R:3 pbc="T T T"
Ba 0.000 0.000 0.000
Ba 0.000 2.875 4.127
Ba 2.875 0.000 12.380
Ba 2.875 2.875 8.253
Be 0.000 0.000 8.253
Be 0.000 2.875 12.380
Be 2.875 0.000 4.127
Be 2.875 2.875 0.000
Tl 0.290 1.438 10.316
Tl 1.438 3.166 14.443
Tl 1.438 5.460 6.190
Tl 2.585 1.438 2.063
Tl 3.166 4.313 2.063
Tl 4.313 0.290 6.190
Tl 4.313 2.585 14.443
Tl 5.460 4.313 10.316
```

=====

Computed, not measured: crystalline Ca3MgAl at its relaxed geometry at the PBE level of DFT.

Output
**V**: 203.06 Å³/cell
**Density of states at the Fermi level**: 1.31 states/eV per atom
**Total magnetization**: 0.000 μB per atom
**SG**: Pm-3m
**Final energy**: -2.071 eV per atom
**Energy of formation**: 0.20 eV/atom

extended XYZ file:
```
5
Lattice="5.878 0.000 0.000 0.000 5.878 0.000 0.000 0.000 5.878" Properties=species:S:1:pos:R:3 pbc="T T T"
Ca 0.000 0.000 2.939
Ca 0.000 2.939 0.000
Ca 2.939 0.000 0.000
Mg 2.939 2.939 2.939
Al 0.000 0.000 0.000
```

=====

Computed, not measured: crystalline Li2MgNi at its relaxed geometry at the PBE level of DFT.

Output
**V**: 62.16 Å³/cell
**Density of states at the Fermi level**: 0.36 states/eV per atom
**Total magnetization**: 0.000 μB per atom
**SG**: Pm
**Final energy**: -2.810 eV per atom
**Energy of formation**: -0.01 eV/atom

extended XYZ file:
```
4
Lattice="2.936 0.000 0.000 0.000 3.316 0.000 -0.025 0.000 6.384" Properties=species:S:1:pos:R:3 pbc="T T T"
Li 0.000 0.000 0.000
Li 1.441 1.658 4.746
Mg 1.449 1.658 2.035
Ni 2.910 0.000 3.463
```

=====

Computed, not measured: crystalline Tb5Cu4Ni at its relaxed geometry at the PBE level of DFT.

Output
**V**: 208.40 Å³/cell
**Density of states at the Fermi level**: 0.72 states/eV per atom
**Total magnetization**: 0.000 μB per atom
**SG**: P4/mmm
**Final energy**: -4.796 eV per atom
**Energy of formation**: -0.26 eV/atom

extended XYZ file:
```
10
Lattice="3.450 0.000 0.000 0.000 3.450 0.000 0.000 0.000 17.505" Properties=species:S:1:pos:R:3 pbc="T T T"
Tb 0.000 0.000 0.000
Tb 0.000 0.000 3.542
Tb 0.000 0.000 7.091
Tb 0.000 0.000 10.414
Tb 0.000 0.000 13.963
Cu 1.725 1.725 1.762
Cu 1.725 1.725 5.297
Cu 1.725 1.725 12.208
Cu 1.725 1.725 15.743
Ni 1.725 1.725 8.752
```

=====

Computed, not measured: crystalline SrErPd2 at its relaxed geometry at the PBE level of DFT.

Output
**V**: 367.81 Å³/cell
**Density of states at the Fermi level**: 0.59 states/eV per atom
**Total magnetization**: 0.000 μB per atom
**SG**: Fm-3m
**Final energy**: -4.808 eV per atom
**Energy of formation**: -0.65 eV/atom

extended XYZ file:
```
16
Lattice="7.165 0.000 0.000 0.000 7.165 0.000 0.000 0.000 7.165" Properties=species:S:1:pos:R:3 pbc="T T T"
Sr 0.000 0.000 0.000
Sr 0.000 3.582 3.582
Sr 3.582 0.000 3.582
Sr 3.582 3.582 0.000
Er 0.000 0.000 3.582
Er 0.000 3.582 0.000
Er 3.582 0.000 0.000
Er 3.582 3.582 3.582
Pd 1.791 1.791 1.791
Pd 1.791 1.791 5.374
Pd 1.791 5.374 1.791
Pd 1.791 5.374 5.374
Pd 5.374 1.791 1.791
Pd 5.374 1.791 5.374
Pd 5.374 5.374 1.791
Pd 5.374 5.374 5.374
```

=====

Computed, not measured: crystalline RbNaAcPb at its relaxed geometry at the PBE level of DFT.

Output
**V**: 628.49 Å³/cell
**Density of states at the Fermi level**: 0.40 states/eV per atom
**Total magnetization**: 0.000 μB per atom
**SG**: F-43m
**Final energy**: -2.557 eV per atom
**Energy of formation**: -0.03 eV/atom

extended XYZ file:
```
16
Lattice="8.566 0.000 0.000 0.000 8.566 0.000 0.000 0.000 8.566" Properties=species:S:1:pos:R:3 pbc="T T T"
Rb 0.000 0.000 0.000
Rb 0.000 4.283 4.283
Rb 4.283 0.000 4.283
Rb 4.283 4.283 0.000
Na 2.141 2.141 2.141
Na 2.141 6.424 6.424
Na 6.424 2.141 6.424
Na 6.424 6.424 2.141
Ac 0.000 0.000 4.283
Ac 0.000 4.283 0.000
Ac 4.283 0.000 0.000
Ac 4.283 4.283 4.283
Pb 2.141 2.141 6.424
Pb 2.141 6.424 2.141
Pb 6.424 2.141 2.141
Pb 6.424 6.424 6.424
```

=====

Computed, not measured: crystalline GaMo2IrPd at its relaxed geometry at the PBE level of DFT.

Output
**V**: 105.87 Å³/cell
**Density of states at the Fermi level**: 1.69 states/eV per atom
**Total magnetization**: 0.000 μB per atom
**SG**: P4/mmm
**Final energy**: -5.890 eV per atom
**Energy of formation**: 1.86 eV/atom

extended XYZ file:
```
5
Lattice="4.664 0.000 0.000 0.000 4.664 0.000 0.000 0.000 4.867" Properties=species:S:1:pos:R:3 pbc="T T T"
Ga 0.000 0.000 0.000
Mo 0.000 2.332 2.434
Mo 2.332 0.000 2.434
Ir 2.332 2.332 0.000
Pd 2.332 2.332 2.434
```

=====

Computed, not measured: crystalline V2CrTe2Se4 at its relaxed geometry at the PBE level of DFT.

Output
**V**: 218.39 Å³/cell
**Density of states at the Fermi level**: 0.33 states/eV per atom
**Total magnetization**: 0.216 μB per atom
**SG**: P3m1
**Final energy**: -5.842 eV per atom
**Formation energy from raw total energies**: -4.496 eV/f.u.

extended XYZ file:
```
9
Lattice="3.389 0.000 0.000 -1.694 2.935 0.000 0.000 0.000 21.958" Properties=species:S:1:pos:R:3 pbc="T T T"
V 0.000 0.000 0.000
V 0.000 1.957 6.907
Cr 0.000 1.957 14.776
Te 0.000 0.000 13.035
Te 0.000 0.000 16.519
Se 0.000 0.000 5.318
Se 0.000 0.000 8.497
Se 0.000 1.957 1.588
Se 0.000 1.957 20.368
```

=====

Computed, not measured: crystalline TaIn3B at its relaxed geometry at the PBE level of DFT.

Output
**V**: 159.40 Å³/cell
**Density of states at the Fermi level**: 0.75 states/eV per atom
**Total magnetization**: 0.000 μB per atom
**SG**: Pm-3m
**Final energy**: -3.760 eV per atom
**Energy of formation**: 1.59 eV/atom

extended XYZ file:
```
5
Lattice="5.422 0.000 0.000 0.000 5.422 0.000 0.000 0.000 5.422" Properties=species:S:1:pos:R:3 pbc="T T T"
Ta 0.000 0.000 0.000
In 0.000 0.000 2.711
In 0.000 2.711 0.000
In 2.711 0.000 0.000
B 2.711 2.711 2.711
```

=====

Computed, not measured: crystalline AlFeCu2 at its relaxed geometry at the PBE level of DFT.

Output
**V**: 99.88 Å³/cell
**Density of states at the Fermi level**: 0.83 states/eV per atom
**Total magnetization**: 0.558 μB per atom
**SG**: C2/m
**Final energy**: -5.156 eV per atom
**Energy of formation**: -0.06 eV/atom

extended XYZ file:
```
8
Lattice="8.750 0.000 0.000 0.000 2.646 0.000 -0.942 0.000 4.315" Properties=species:S:1:pos:R:3 pbc="T T T"
Al 0.000 0.000 0.000
Al 4.375 1.323 0.000
Fe -0.471 1.323 2.157
Fe 3.904 0.000 2.157
Cu 1.489 0.000 3.217
Cu 1.944 1.323 1.098
Cu 6.319 0.000 1.098
Cu 5.865 1.323 3.217
```

=====

Computed, not measured: crystalline Cd8Ag3Pd2 at its relaxed geometry at the PBE level of DFT.

Output
**V**: 274.81 Å³/cell
**Density of states at the Fermi level**: 0.22 states/eV per atom
**Total magnetization**: 0.000 μB per atom
**SG**: C2/m
**Final energy**: -2.133 eV per atom
**Energy of formation**: -0.11 eV/atom

extended XYZ file:
```
13
Lattice="6.193 -4.042 0.000 6.193 4.042 0.000 -0.710 0.000 5.489" Properties=species:S:1:pos:R:3 pbc="T T T"
Cd 4.596 2.490 0.421
Cd 0.901 0.000 2.063
Cd 3.328 0.000 3.670
Cd 7.080 2.490 5.068
Cd 4.596 -2.490 0.421
Cd 8.348 0.000 1.819
Cd 10.775 0.000 3.426
Cd 7.080 -2.490 5.068
Ag 5.838 1.394 2.744
Ag 6.193 0.000 0.000
Ag 5.838 -1.394 2.744
Pd 3.497 0.000 0.950
Pd 8.178 0.000 4.539
```

=====

Computed, not measured: crystalline K2SiSbTe4 at its relaxed geometry at the PBE level of DFT.

Output
**V**: 538.65 Å³/cell
**Density of states at the Fermi level**: 0.38 states/eV per atom
**Total magnetization**: 0.000 μB per atom
**SG**: Imma
**Final energy**: -3.379 eV per atom
**Formation energy from raw total energies**: -2.723 eV/f.u.

extended XYZ file:
```
16
Lattice="-4.406 4.723 6.471 4.406 -4.723 6.471 4.406 4.723 -6.471" Properties=species:S:1:pos:R:3 pbc="T T T"
K 0.000 0.000 0.000
K -2.203 2.361 3.236
K 0.000 4.723 0.000
K 2.203 2.361 3.236
Si 2.203 2.361 -3.236
Si 2.203 -2.361 3.236
Sb 4.406 0.000 0.000
Sb 0.000 0.000 6.471
Te 4.406 -0.463 3.126
Te 4.406 4.260 -3.126
Te 2.365 2.361 -0.330
Te 6.448 2.361 -0.330
Te -2.041 2.361 6.801
Te 2.041 2.361 6.801
Te 0.000 0.463 9.598
Te 0.000 5.186 3.345
```

=====

Question: What is the final energy in the fourth record?
Answer: -4.796 eV per atom

=====

Question: The lowest density of states at the Fermi level belongs to which entry?
Answer: Cd8Ag3Pd2

=====

Repeat the sixth record exactly.
Computed, not measured: crystalline RbNaAcPb at its relaxed geometry at the PBE level of DFT.

Output
**V**: 628.49 Å³/cell
**Density of states at the Fermi level**: 0.40 states/eV per atom
**Total magnetization**: 0.000 μB per atom
**SG**: F-43m
**Final energy**: -2.557 eV per atom
**Energy of formation**: -0.03 eV/atom

extended XYZ file:
```
16
Lattice="8.566 0.000 0.000 0.000 8.566 0.000 0.000 0.000 8.566" Properties=species:S:1:pos:R:3 pbc="T T T"
Rb 0.000 0.000 0.000
Rb 0.000 4.283 4.283
Rb 4.283 0.000 4.283
Rb 4.283 4.283 0.000
Na 2.141 2.141 2.141
Na 2.141 6.424 6.424
Na 6.424 2.141 6.424
Na 6.424 6.424 2.141
Ac 0.000 0.000 4.283
Ac 0.000 4.283 0.000
Ac 4.283 0.000 0.000
Ac 4.283 4.283 4.283
Pb 2.141 2.141 6.424
Pb 2.141 6.424 2.141
Pb 6.424 2.141 2.141
Pb 6.424 6.424 6.424
```